Record 1
9
Lattice="-3.944 0.869 2.983 -1.967 -7.259 -0.487 7.093 1.678 4.665" Properties=species:S:1:pos:R:3 comment="CsK2MgCl5 PBE optimized geometry" density_g_cm3=2.456 raw_formation_energy_ev_per_atom=-1.9451 total_energy_ev_per_atom=-3.49 dos_ef_per_ev_atom=0.00 space_group="Immm, No. 71" pbc="T T T"
K 1.735 -0.636 2.480
K -0.554 -4.076 4.682
Mg -1.972 0.434 1.491
Cs -0.984 -3.630 -0.243
Cl 3.623 0.797 4.560
Cl -1.394 -1.642 2.861
Cl 2.575 -3.071 4.300
Cl 0.000 0.000 0.000
Cl -2.442 -5.510 2.602

=====

Record 2
10
Lattice="8.918 0.000 0.000 0.000 8.918 0.000 0.000 0.000 3.098" Properties=species:S:1:pos:R:3 comment="Mo2SeBr2 PBE optimized geometry" density_g_cm3=5.804 raw_formation_energy_ev_per_atom=0.8949 total_energy_ev_per_atom=-4.80 dos_ef_per_ev_atom=0.51 space_group="P4/mbm, No. 127" pbc="T T T"
Mo 3.698 0.761 1.549
Mo 8.157 3.698 1.549
Mo 0.761 5.220 1.549
Mo 5.220 8.157 1.549
Br 7.488 5.889 0.000
Br 1.430 3.029 0.000
Br 5.889 1.430 0.000
Br 3.029 7.488 0.000
Se 0.000 0.000 0.000
Se 4.459 4.459 0.000

=====

Record 3
9
Lattice="7.023 0.312 0.212 1.946 8.588 0.737 1.946 3.838 7.718" Properties=species:S:1:pos:R:3 comment="K2Rb4GaSn2 PBE optimized geometry" density_g_cm3=2.748 total_energy_ev_per_atom=-1.97 delta_e_f_ev_per_atom=-0.07 dos_ef_per_ev_atom=0.41 space_group="C2/m, No. 12" pbc="T T T"
K 4.120 8.044 5.473
K 6.796 4.694 3.194
Rb 3.086 3.440 5.075
Rb 7.830 6.755 7.331
Rb 7.830 9.299 3.592
Rb 3.086 5.984 1.336
Ga 3.512 0.156 0.106
Sn 8.575 10.664 7.255
Sn 2.341 2.075 1.412

=====

Record 4
16
Lattice="-0.478 -0.761 -3.844 -1.275 -3.632 0.877 -14.863 5.408 0.780" Properties=species:S:1:pos:R:3 comment="Mg3MnPt12 PBE optimized geometry" density_g_cm3=16.612 total_energy_ev_per_atom=-5.95 delta_e_f_ev_per_atom=-0.55 dos_ef_per_ev_atom=0.86 space_group="P4/mmm, No. 123" pbc="T T T"
Mn 0.000 0.000 0.000
Mg -3.706 1.348 0.194
Mg -11.157 4.059 0.585
Mg -7.431 2.704 0.390
Pt -13.277 4.363 -1.238
Pt -6.204 0.209 0.731
Pt -9.934 1.567 0.926
Pt -2.064 0.284 -1.826
Pt -2.463 -1.152 0.534
Pt -0.877 -2.196 -1.483
Pt -8.308 0.508 -1.093
Pt -12.043 1.867 -0.897
Pt -13.675 2.928 1.123
Pt -5.806 1.645 -1.630
Pt -9.535 3.002 -1.434
Pt -4.573 -0.851 -1.289

=====

Record 5
9
Lattice="4.435 0.000 0.809 2.033 7.604 1.413 0.076 -0.210 12.137" Properties=species:S:1:pos:R:3 comment="ZnPb2I6 PBE optimized geometry" density_g_cm3=5.030 raw_formation_energy_ev_per_atom=-0.5332 total_energy_ev_per_atom=-2.53 dos_ef_per_ev_atom=0.00 space_group="C2/m, No. 12" pbc="T T T"
Pb 5.016 7.332 10.173
Pb 1.527 0.062 4.186
Zn 0.000 0.000 0.000
I 4.970 1.666 10.428
I 3.419 1.700 6.375
I 4.163 1.993 2.300
I 1.573 5.727 3.932
I 3.125 5.693 7.984
I 2.381 5.400 12.060

=====

Record 6
16
Lattice="-2.004 -0.809 -2.437 1.332 -4.955 2.726 -8.689 1.347 6.695" Properties=species:S:1:pos:R:3 comment="NdHf2CrN4 PBE optimized geometry" density_g_cm3=10.079 raw_formation_energy_ev_per_atom=-1.3427 total_energy_ev_per_atom=-9.79 dos_ef_per_ev_atom=0.49 space_group="Cmcm, No. 63" pbc="T T T"
N 0.000 0.000 0.000
N -3.127 -0.831 0.670
N -3.180 -2.305 3.379
N -0.816 -2.671 1.557
N -8.544 -1.745 5.426
N -4.345 0.673 3.348
N -6.180 -2.112 3.605
N -6.233 -3.586 6.314
Nd -2.908 -4.376 1.667
Nd -6.452 -0.040 5.317
Cr -2.064 -1.419 2.167
Cr -7.296 -2.998 4.816
Hf -8.047 -2.661 7.497
Hf -1.314 -1.756 -0.514
Hf -4.501 -3.210 4.765
Hf -4.860 -1.206 2.219

=====

Record 7
16
Lattice="-0.571 -9.028 -1.523 2.648 -1.623 8.631 -7.057 5.393 -1.695" Properties=species:S:1:pos:R:3 comment="TbPr5Sc2 PBE optimized geometry" density_g_cm3=5.973 total_energy_ev_per_atom=-5.00 delta_e_f_ev_per_atom=0.15 dos_ef_per_ev_atom=1.52 space_group="I4/mcm, No. 140" pbc="T T T"
Pr -0.286 -2.374 5.965
Pr 1.038 -5.326 3.554
Pr 0.000 0.000 0.000
Pr -4.694 -2.884 -0.552
Pr -3.254 -1.867 4.072
Pr -0.904 0.793 3.851
Pr -2.297 0.335 7.092
Pr -4.077 -6.052 1.562
Pr -1.726 -3.392 1.341
Pr -2.683 -5.593 -1.678
Tb -3.009 0.034 0.930
Tb -1.971 -5.292 4.484
Sc 2.054 -4.555 6.814
Sc 0.023 -6.096 0.295
Sc 1.231 -8.740 4.301
Sc 0.846 -1.911 2.808

=====

Record 8
12
Lattice="6.116 -0.001 -0.012 -3.058 5.296 -0.012 -1.001 -1.733 11.409" Properties=species:S:1:pos:R:3 comment="Pm3Ho6Tm2In PBE optimized geometry" density_g_cm3=8.442 total_energy_ev_per_atom=-4.48 delta_e_f_ev_per_atom=-0.03 dos_ef_per_ev_atom=1.42 space_group="C2/m, No. 12" pbc="T T T"
Pm 4.084 0.016 5.692
Pm -2.028 3.546 5.692
Pm 1.028 1.781 5.692
Ho 2.010 0.002 2.761
Ho -1.003 1.742 2.761
Ho 0.047 3.559 8.623
Ho 3.060 1.820 8.623
Ho 0.003 0.005 8.621
Ho 2.054 3.557 2.764
Tm 3.052 1.768 -0.012
Tm 0.006 3.527 -0.012
In 0.000 0.000 0.000